No. 1
CsBr2F: optimized geometry, PBE.

Values from the calculation:
Its uncorrected formation energy is -775 meV per atom.

The structure in CIF format:
```
data_CsBr2F
_chemical_formula_sum 'Cs1 Br2 F1'
_cell_length_a 6.777
_cell_length_b 6.777
_cell_length_c 6.777
_cell_angle_alpha 44.47
_cell_angle_beta 44.47
_cell_angle_gamma 44.47
_symmetry_space_group_name_H-M 'P 1'
_symmetry_Int_Tables_number 1
loop_
_symmetry_equiv_pos_as_xyz
'x,y,z'
loop_
_atom_site_label
_atom_site_fract_x
_atom_site_fract_y
_atom_site_fract_z
_atom_site_occupancy
Br1 0.818 0.818 0.818 1
Br2 0.182 0.182 0.182 1
Cs1 0.000 0.000 0.000 1
F1 0.500 0.500 0.500 1
```



No. 2
CsBrF4: optimized geometry, PBE.

Values from the calculation:
Its uncorrected formation energy is -1689 meV per atom.

The structure in CIF format:
```
data_CsBrF4
_chemical_formula_sum 'Cs2 Br2 F8'
_cell_length_a 5.149
_cell_length_b 6.295
_cell_length_c 9.468
_cell_angle_alpha 100.30
_cell_angle_beta 90.00
_cell_angle_gamma 114.14
_symmetry_space_group_name_H-M 'P 1'
_symmetry_Int_Tables_number 1
loop_
_symmetry_equiv_pos_as_xyz
'x,y,z'
loop_
_atom_site_label
_atom_site_fract_x
_atom_site_fract_y
_atom_site_fract_z
_atom_site_occupancy
Cs1 0.764 0.000 0.750 1
F1 0.748 0.529 0.362 1
F2 0.252 0.471 0.638 1
F3 0.181 0.844 0.560 1
F4 0.218 0.471 0.138 1
F5 0.663 0.844 0.060 1
F6 0.819 0.156 0.440 1
F7 0.782 0.529 0.862 1
Cs2 0.236 0.000 0.250 1
Br1 0.500 0.500 0.000 1
Br2 0.000 0.500 0.500 1
F8 0.337 0.156 0.940 1
```